[1]
This record from the Alexandria database describes a relaxed KRh2Pb2 crystal. The functional is PBE.

relative energy among the computed polymorphs = 0 meV/atom
SG = No. 139
DOS(E_F) = 2.975 states/eV/f.u.

a = 7.135 Å, b = 7.135 Å, c = 7.135 Å
α = 143.46°, β = 143.46°, γ = 52.63°
Positions (direct):
K1 0.000 0.000 0.000
Rh1 0.250 0.750 0.500
Rh2 0.750 0.250 0.500
Pb1 0.367 0.367 0.000
Pb2 0.633 0.633 0.000



[2]
This record from the Alexandria database describes a relaxed KRh2Pb2 crystal. The functional is PBE.

relative energy among the computed polymorphs = 130 meV/atom
SG = No. 127
DOS(E_F) = 2.536 states/eV/f.u.

a = 8.454 Å, b = 8.454 Å, c = 3.107 Å
α = 90.00°, β = 90.00°, γ = 90.00°
Positions (direct):
K1 0.000 0.000 0.000
K2 0.500 0.500 0.000
Rh1 0.149 0.351 0.500
Rh2 0.351 0.851 0.500
Rh3 0.649 0.149 0.500
Rh4 0.851 0.649 0.500
Pb1 0.143 0.643 0.000
Pb2 0.357 0.143 0.000
Pb3 0.643 0.857 0.000
Pb4 0.857 0.357 0.000



[3]
This record from the Alexandria database describes a relaxed KRhPb crystal. The functional is PBE.

E = -3.880 eV per atom
SG = No. 156
DOS(E_F) = 0.434 states/eV/f.u.

a = 4.163 Å, b = 4.163 Å, c = 6.309 Å
α = 90.00°, β = 90.00°, γ = 120.00°
Positions (direct):
K1 0.000 0.000 0.000
Rh1 0.333 0.667 0.632
Pb1 0.667 0.333 0.453



[4]
This record from the Alexandria database describes a relaxed KRh3Pb crystal. The functional is PBE.

relative energy among the computed polymorphs = 791 meV/atom
SG = No. 221
DOS(E_F) = 6.626 states/eV/f.u.

a = 4.828 Å, b = 4.828 Å, c = 4.828 Å
α = 90.00°, β = 90.00°, γ = 90.00°
Positions (direct):
K1 0.000 0.000 0.000
Rh1 0.000 0.000 0.500
Rh2 0.000 0.500 0.000
Rh3 0.500 0.000 0.000
Pb1 0.500 0.500 0.500



[5]
This record from the Alexandria database describes a relaxed KRhPb crystal. The functional is PBE.

E = -3.960 eV per atom
SG = No. 107
DOS(E_F) = 2.984 states/eV/f.u.

a = 6.993 Å, b = 6.993 Å, c = 6.993 Å
α = 151.12°, β = 151.12°, γ = 41.30°
Positions (direct):
K1 0.000 0.000 0.000
Rh1 0.683 0.683 0.000
Pb1 0.284 0.284 0.000



[6]
This record from the Alexandria database describes a relaxed KRh4Pb12 crystal. The functional is PBE.

E = -4.414 eV per atom
SG = No. 204
DOS(E_F) = 15.516 states/eV/f.u.

a = 8.552 Å, b = 8.552 Å, c = 8.552 Å
α = 109.47°, β = 109.47°, γ = 109.47°
Positions (direct):
K1 0.000 0.000 0.000
Rh1 0.000 0.000 0.500
Rh2 0.000 0.500 0.000
Rh3 0.500 0.000 0.000
Rh4 0.500 0.500 0.500
Pb1 0.168 0.336 0.503
Pb2 0.168 0.664 0.832
Pb3 0.168 0.832 0.336
Pb4 0.336 0.168 0.832
Pb5 0.336 0.503 0.168
Pb6 0.497 0.832 0.664
Pb7 0.503 0.168 0.336
Pb8 0.664 0.497 0.832
Pb9 0.664 0.832 0.168
Pb10 0.832 0.168 0.664
Pb11 0.832 0.336 0.168
Pb12 0.832 0.664 0.497



[7]
This record from the Alexandria database describes a relaxed KRhPb3 crystal. The functional is PBE.

relative energy among the computed polymorphs = 173 meV/atom
SG = No. 221
DOS(E_F) = 8.325 states/eV/f.u.

a = 5.440 Å, b = 5.440 Å, c = 5.440 Å
α = 90.00°, β = 90.00°, γ = 90.00°
Positions (direct):
K1 0.000 0.000 0.000
Rh1 0.500 0.500 0.500
Pb1 0.000 0.500 0.500
Pb2 0.500 0.000 0.500
Pb3 0.500 0.500 0.000



[8]
This record from the Alexandria database describes a relaxed KRhPb crystal. The functional is PBE.

E = -4.183 eV per atom
SG = No. 129
DOS(E_F) = 0.361 states/eV/f.u.

a = 4.617 Å, b = 4.617 Å, c = 8.106 Å
α = 90.00°, β = 90.00°, γ = 90.00°
Positions (direct):
K1 0.250 0.250 0.169
K2 0.750 0.750 0.831
Rh1 0.250 0.750 0.500
Rh2 0.750 0.250 0.500
Pb1 0.250 0.250 0.679
Pb2 0.750 0.750 0.321



What is the DOS(E_F) in the first record? 2.975 states/eV/f.u.